P) Computed, not measured: a relaxed structure of YBeSb at the GGA-PBE level of DFT.

Output
Space group: Fmm2 (42)
Volume: 66.5 Å³/cell
Fermi-level density of states: 1.20 states/eV/f.u.
Spin magnetization: 0.000 μB/atom

abc: 6.1327 5.7915 3.6038
angles: 77.66 67.30 35.03
Element x y z (fractional)
Y 0.6575 0.6575 0.3425
Sb 0.3621 0.3621 0.6379
Be 0.9804 0.9804 0.0196

---

Q) Computed, not measured: a relaxed structure of YBeSb at the GGA-PBE level of DFT.

Output
Space group: F-43m (216)
Volume: 63.5 Å³/cell
Fermi-level density of states: 1.73 states/eV/f.u.
Spin magnetization: 0.000 μB/atom

abc: 4.4772 4.4772 4.4772
angles: 60.00 60.00 60.00
Element x y z (fractional)
Y 0.5000 0.5000 0.5000
Sb 0.0000 0.0000 0.0000
Be 0.2500 0.2500 0.2500

---

Which one sits at the top of the stability order? Q) does.

---

P) Computed, not measured: a relaxed structure of Be2ZnSb at the GGA-PBE level of DFT.

Output
Space group: C2/m (12)
Volume: 62.6 Å³/cell
Fermi-level density of states: 1.25 states/eV/f.u.
Spin magnetization: 0.000 μB/atom

abc: 5.9013 4.0747 3.9251
angles: 79.29 65.90 121.83
Element x y z (fractional)
Sb 0.0000 0.5000 0.5000
Zn 0.5000 0.5000 0.0000
Be 0.0000 0.0000 0.0000
Be 0.5000 0.0000 0.5000

---

Q) Computed, not measured: a relaxed structure of Be2ZnSb at the GGA-PBE level of DFT.

Output
Space group: Cmm2 (35)
Volume: 62.1 Å³/cell
Fermi-level density of states: 1.44 states/eV/f.u.
Spin magnetization: 0.000 μB/atom

abc: 2.9804 2.9804 7.0071
angles: 90.00 90.00 94.05
Element x y z (fractional)
Sb 0.0000 0.0000 0.4635
Zn 0.5000 0.5000 0.8319
Be 0.0000 0.0000 0.0342
Be 0.5000 0.5000 0.1704

---

R) Computed, not measured: a relaxed structure of Be2ZnSb at the GGA-PBE level of DFT.

Output
Space group: R-3m (166)
Volume: 62.9 Å³/cell
Fermi-level density of states: 1.78 states/eV/f.u.
Spin magnetization: 0.000 μB/atom

abc: 7.4050 7.4050 7.4050
angles: 24.81 24.81 24.81
Element x y z (fractional)
Sb 0.2500 0.2500 0.2500
Zn 0.7500 0.7500 0.7500
Be 0.0064 0.0064 0.0064
Be 0.4936 0.4936 0.4936

---

S) Computed, not measured: a relaxed structure of Be2ZnSb at the GGA-PBE level of DFT.

Output
Space group: P2/m (10)
Volume: 64.5 Å³/cell
Fermi-level density of states: 0.90 states/eV/f.u.
Spin magnetization: 0.000 μB/atom

abc: 3.9576 2.8366 5.9403
angles: 104.84 90.00 90.00
Element x y z (fractional)
Sb 0.5000 0.2500 0.2500
Zn 0.5000 0.7500 0.7500
Be 0.0000 0.1025 0.9067
Be 0.0000 0.3975 0.5933

---

Which one sits at the top of the stability order? S) does.

---

P) Computed, not measured: a relaxed structure of Be2ZnSb at the GGA-PBE level of DFT.

Output
Space group: F-43m (216)
Volume: 63.9 Å³/cell
Fermi-level density of states: 2.40 states/eV/f.u.
Spin magnetization: 0.000 μB/atom

abc: 4.4880 4.4880 4.4880
angles: 60.00 60.00 60.00
Element x y z (fractional)
Sb 0.5000 0.5000 0.5000
Zn 0.2500 0.2500 0.2500
Be 0.0000 0.0000 0.0000
Be 0.7500 0.7500 0.7500

---

Q) Computed, not measured: a relaxed structure of Be2ZnSb at the GGA-PBE level of DFT.

Output
Space group: Pmmm (47)
Volume: 61.0 Å³/cell
Fermi-level density of states: 1.20 states/eV/f.u.
Spin magnetization: 0.000 μB/atom

abc: 2.9112 3.5563 5.8873
angles: 90.00 90.00 90.00
Element x y z (fractional)
Sb 0.5000 0.5000 0.2500
Zn 0.5000 0.5000 0.7500
Be 0.0000 0.0000 0.9380
Be 0.0000 0.0000 0.5620

---

Which one sits at the top of the stability order? Q) does.

---

P) Computed, not measured: a relaxed structure of BeZnSb2 at the GGA-PBE level of DFT.

Output
Space group: Cmm2 (35)
Volume: 91.5 Å³/cell
Fermi-level density of states: 0.92 states/eV/f.u.
Spin magnetization: 0.000 μB/atom

abc: 3.5260 3.5260 7.6042
angles: 90.00 90.00 104.46
Element x y z (fractional)
Sb 0.0000 0.0000 0.8971
Sb 0.5000 0.5000 0.3482
Zn 0.0000 0.0000 0.5492
Be 0.5000 0.5000 0.7055

---

Q) Computed, not measured: a relaxed structure of BeZnSb2 at the GGA-PBE level of DFT.

Output
Space group: Cmmm (65)
Volume: 81.4 Å³/cell
Fermi-level density of states: 1.70 states/eV/f.u.
Spin magnetization: 0.000 μB/atom

abc: 4.8141 4.8141 3.5549
angles: 90.00 90.00 98.99
Element x y z (fractional)
Sb 0.0000 0.0000 0.0000
Sb 0.5000 0.5000 0.0000
Zn 0.5000 0.0000 0.5000
Be 0.0000 0.5000 0.5000

---

Which one sits at the top of the stability order? P) does.

---

P) Computed, not measured: a relaxed structure of BeZnSb2 at the GGA-PBE level of DFT.

Output
Space group: P4/mmm (123)
Volume: 82.4 Å³/cell
Fermi-level density of states: 1.09 states/eV/f.u.
Spin magnetization: 0.000 μB/atom

abc: 3.2899 3.2899 7.6148
angles: 90.00 90.00 90.00
Element x y z (fractional)
Sb 0.0000 0.0000 0.9624
Sb 0.0000 0.0000 0.5376
Zn 0.5000 0.5000 0.2500
Be 0.5000 0.5000 0.7500

---

Q) Computed, not measured: a relaxed structure of BeZnSb2 at the GGA-PBE level of DFT.

Output
Space group: F-43m (216)
Volume: 84.6 Å³/cell
Fermi-level density of states: 2.46 states/eV/f.u.
Spin magnetization: 0.000 μB/atom

abc: 4.9266 4.9266 4.9266
angles: 60.00 60.00 60.00
Element x y z (fractional)
Sb 0.0000 0.0000 0.0000
Sb 0.2500 0.2500 0.2500
Zn 0.7500 0.7500 0.7500
Be 0.5000 0.5000 0.5000

---

R) Computed, not measured: a relaxed structure of BeZnSb2 at the GGA-PBE level of DFT.

Output
Space group: Immm (71)
Volume: 85.1 Å³/cell
Fermi-level density of states: 1.89 states/eV/f.u.
Spin magnetization: 0.000 μB/atom

abc: 5.2133 5.2133 5.2133
angles: 136.79 114.97 81.31
Element x y z (fractional)
Sb 0.0392 0.0392 0.0000
Sb 0.4608 0.4608 0.0000
Zn 0.7500 0.2500 0.5000
Be 0.2500 0.7500 0.5000

---

S) Computed, not measured: a relaxed structure of BeZnSb2 at the GGA-PBE level of DFT.

Output
Space group: Pmmm (47)
Volume: 84.0 Å³/cell
Fermi-level density of states: 1.23 states/eV/f.u.
Spin magnetization: 0.000 μB/atom

abc: 3.8807 5.5187 3.9238
angles: 90.00 90.00 90.00
Element x y z (fractional)
Sb 0.0000 0.0000 0.0000
Sb 0.5000 0.5000 0.0000
Zn 0.5000 0.0000 0.5000
Be 0.0000 0.5000 0.5000

---

Which one sits at the top of the stability order? R) does.

---

P) Computed, not measured: a relaxed structure of Be2Zn2Sb at the GGA-PBE level of DFT.

Output
Space group: P4/mbm (127)
Volume: 154.3 Å³/cell
Fermi-level density of states: 1.76 states/eV/f.u.
Spin magnetization: 0.000 μB/atom

abc: 7.1391 7.1391 3.0272
angles: 90.00 90.00 90.00
Element x y z (fractional)
Sb 0.0000 0.0000 0.0000
Sb 0.5000 0.5000 0.0000
Zn 0.1700 0.6700 0.5000
Zn 0.6700 0.8300 0.5000
Zn 0.8300 0.3300 0.5000
Zn 0.3300 0.1700 0.5000
Be 0.3864 0.8864 0.0000
Be 0.8864 0.6136 0.0000
Be 0.6136 0.1136 0.0000
Be 0.1136 0.3864 0.0000

---

Q) Computed, not measured: a relaxed structure of Be2Zn2Sb at the GGA-PBE level of DFT.

Output
Space group: P4/mbm (127)
Volume: 155.7 Å³/cell
Fermi-level density of states: 1.52 states/eV/f.u.
Spin magnetization: 0.000 μB/atom

abc: 7.5107 7.5107 2.7594
angles: 90.00 90.00 90.00
Element x y z (fractional)
Sb 0.0000 0.0000 0.0000
Sb 0.5000 0.5000 0.0000
Zn 0.3311 0.8311 0.0000
Zn 0.8311 0.6689 0.0000
Zn 0.6689 0.1689 0.0000
Zn 0.1689 0.3311 0.0000
Be 0.1069 0.6069 0.5000
Be 0.6069 0.8931 0.5000
Be 0.8931 0.3931 0.5000
Be 0.3931 0.1069 0.5000

---

Which one sits at the top of the stability order? P) does.